(1)
# Zr2SiH (PBE-GGA, relaxed)
# * crystal system: monoclinic
# * electronic total energy: -110.568 eV per cell
data_Zr2SiH
_space_group_name_H-M_alt 'P 1 2/c 1'
_space_group_IT_number 13
_cell_length_a 5.3062
_cell_length_b 5.3896
_cell_length_c 9.9312
_cell_angle_alpha 90.00
_cell_angle_beta 116.00
_cell_angle_gamma 90.00
loop_
_space_group_symop_operation_xyz
'x,y,z'
'-x,-y,-z'
'-x,y,-z+1/2'
'x,-y,z+1/2'
loop_
_atom_site_label
_atom_site_type_symbol
_atom_site_fract_x
_atom_site_fract_y
_atom_site_fract_z
Zr1 Zr 0.0050 0.2475 0.4230
Zr2 Zr 0.3248 0.2498 0.8509
Si1 Si 0.4401 0.2458 0.3517
H1 H 0.0268 0.3700 0.6288


(2)
# Zr4SiH (PBE-GGA, relaxed)
# * crystal system: tetragonal
# * electronic total energy: -178.488 eV per cell
data_Zr4SiH
_space_group_name_H-M_alt 'I 41/a m d'
_space_group_IT_number 141
_cell_length_a 8.4915
_cell_length_b 8.4915
_cell_length_c 6.5515
_cell_angle_alpha 90.00
_cell_angle_beta 90.00
_cell_angle_gamma 90.00
loop_
_space_group_symop_operation_xyz
'x,y,z'
'-x,-y,-z'
'-y+1/4,x+3/4,z+1/4'
'y+1/4,-x+3/4,-z+1/4'
'-x+1/2,-y,z+1/2'
'x+1/2,y,-z+1/2'
'y+1/4,-x+1/4,z+3/4'
'-y+1/4,x+1/4,-z+3/4'
'x,-y,-z'
'-x,y,z'
'-y+1/4,-x+1/4,-z+3/4'
'y+1/4,x+1/4,z+3/4'
'-x+1/2,y,-z+1/2'
'x+1/2,-y,z+1/2'
'y+1/4,x+3/4,-z+1/4'
'-y+1/4,-x+3/4,z+1/4'
'x+1/2,y+1/2,z+1/2'
'-x+1/2,-y+1/2,-z+1/2'
'-y+3/4,x+1/4,z+3/4'
'y+3/4,-x+1/4,-z+3/4'
'-x,-y+1/2,z'
'x,y+1/2,-z'
'y+3/4,-x+3/4,z+1/4'
'-y+3/4,x+3/4,-z+1/4'
'x+1/2,-y+1/2,-z+1/2'
'-x+1/2,y+1/2,z+1/2'
'-y+3/4,-x+3/4,-z+1/4'
'y+3/4,x+3/4,z+1/4'
'-x,y+1/2,-z'
'x,-y+1/2,z'
'y+3/4,x+1/4,-z+3/4'
'-y+3/4,-x+1/4,z+3/4'
loop_
_atom_site_label
_atom_site_type_symbol
_atom_site_fract_x
_atom_site_fract_y
_atom_site_fract_z
Zr1 Zr 0.0000 0.0486 0.2259
Si1 Si 0.0000 0.2500 0.8750
H1 H 0.0000 0.2500 0.3750


(3)
# ZrSi2H (PBE-GGA, relaxed)
# * crystal system: cubic
# * electronic total energy: -81.153 eV per cell
data_ZrSi2H
_space_group_name_H-M_alt 'F m -3 m'
_space_group_IT_number 225
_space_group_name_Hall '-F 4 2 3'
_cell_length_a 6.2962
_cell_length_b 6.2962
_cell_length_c 6.2962
_cell_angle_alpha 90.00
_cell_angle_beta 90.00
_cell_angle_gamma 90.00
loop_
_atom_site_label
_atom_site_type_symbol
_atom_site_fract_x
_atom_site_fract_y
_atom_site_fract_z
Zr1 Zr 0.0000 0.0000 0.0000
Si1 Si 0.2500 0.2500 0.2500
H1 H 0.0000 0.0000 0.5000


(4)
# SmH (PBE-GGA, relaxed)
# * crystal system: orthorhombic
# * electronic total energy: -35.646 eV per cell
data_SmH
_space_group_name_H-M_alt 'C m c m'
_space_group_IT_number 63
_space_group_name_Hall '-C 2c 2'
_cell_length_a 3.9508
_cell_length_b 6.8288
_cell_length_c 5.3177
_cell_angle_alpha 90.00
_cell_angle_beta 90.00
_cell_angle_gamma 90.00
loop_
_atom_site_label
_atom_site_type_symbol
_atom_site_fract_x
_atom_site_fract_y
_atom_site_fract_z
Sm1 Sm 0.0000 0.1668 0.2500
H1 H 0.0000 0.1669 0.7500


(5)
# Sm2H5 (PBE-GGA, relaxed)
# * crystal system: orthorhombic
# * electronic total energy: -121.559 eV per cell
data_Sm2H5
_space_group_name_H-M_alt 'I b a m'
_space_group_IT_number 72
_space_group_name_Hall '-I 2 2c'
_cell_length_a 5.5824
_cell_length_b 11.0576
_cell_length_c 4.9234
_cell_angle_alpha 90.00
_cell_angle_beta 90.00
_cell_angle_gamma 90.00
loop_
_atom_site_label
_atom_site_type_symbol
_atom_site_fract_x
_atom_site_fract_y
_atom_site_fract_z
Sm1 Sm 0.2365 0.1201 0.0000
H1 H 0.0000 0.2560 0.2500
H2 H 0.0000 0.5000 0.2500
H3 H 0.1641 0.0835 0.5000


(6)
# Sm3H2 (PBE-GGA, relaxed)
# * crystal system: trigonal
# * electronic total energy: -133.258 eV per cell
data_Sm3H2
_space_group_name_H-M_alt 'R -3 c'
_space_group_IT_number 167
_space_group_name_Hall '-R 3 2"c'
_cell_length_a 6.4196
_cell_length_b 6.4196
_cell_length_c 17.0456
_cell_angle_alpha 90.00
_cell_angle_beta 90.00
_cell_angle_gamma 120.00
loop_
_atom_site_label
_atom_site_type_symbol
_atom_site_fract_x
_atom_site_fract_y
_atom_site_fract_z
Sm1 Sm 0.0000 0.3322 0.2500
H1 H 0.0000 0.0000 0.1669


(7)
# Sm3H (PBE-GGA, relaxed)
# * crystal system: orthorhombic
# * electronic total energy: -35.089 eV per cell
data_Sm3H
_space_group_name_H-M_alt 'I m m 2'
_space_group_IT_number 44
_cell_length_a 3.4093
_cell_length_b 10.0662
_cell_length_c 5.9255
_cell_angle_alpha 90.00
_cell_angle_beta 90.00
_cell_angle_gamma 90.00
loop_
_space_group_symop_operation_xyz
'x,y,z'
'-x,-y,z'
'-x,y,z'
'x,-y,z'
'x+1/2,y+1/2,z+1/2'
'-x+1/2,-y+1/2,z+1/2'
'-x+1/2,y+1/2,z+1/2'
'x+1/2,-y+1/2,z+1/2'
loop_
_atom_site_label
_atom_site_type_symbol
_atom_site_fract_x
_atom_site_fract_y
_atom_site_fract_z
Sm1 Sm 0.0000 0.0000 0.0000
Sm2 Sm 0.0000 0.1786 0.4718
H1 H 0.0000 0.5000 0.8141


(8)
# Sm8H (PBE-GGA, relaxed)
# * crystal system: trigonal
# * electronic total energy: -41.580 eV per cell
data_Sm8H
_space_group_name_H-M_alt 'P -3 m 1'
_space_group_IT_number 164
_space_group_name_Hall '-P 3 2"'
_cell_length_a 7.3713
_cell_length_b 7.3713
_cell_length_c 5.8183
_cell_angle_alpha 90.00
_cell_angle_beta 90.00
_cell_angle_gamma 120.00
loop_
_atom_site_label
_atom_site_type_symbol
_atom_site_fract_x
_atom_site_fract_y
_atom_site_fract_z
Sm1 Sm 0.1651 0.3302 0.2491
Sm2 Sm 0.3333 0.6667 0.7339
H1 H 0.0000 0.0000 0.5000


(9)
# SmH5 (PBE-GGA, relaxed)
# * crystal system: orthorhombic
# * electronic total energy: -40.384 eV per cell
data_SmH5
_space_group_name_H-M_alt 'C m m m'
_space_group_IT_number 65
_space_group_name_Hall '-C 2 2'
_cell_length_a 3.3977
_cell_length_b 7.4765
_cell_length_c 3.3831
_cell_angle_alpha 90.00
_cell_angle_beta 90.00
_cell_angle_gamma 90.00
loop_
_atom_site_label
_atom_site_type_symbol
_atom_site_fract_x
_atom_site_fract_y
_atom_site_fract_z
Sm1 Sm 0.0000 0.0000 0.0000
H1 H 0.0000 0.2502 0.5000
H2 H 0.0000 0.3018 0.0000
H3 H 0.0000 0.5000 0.5000


(10)
# Sm6Sn3H (PBE-GGA, relaxed)
# * crystal system: orthorhombic
# * electronic total energy: -194.656 eV per cell
data_Sm6Sn3H
_space_group_name_H-M_alt 'C m c 21'
_space_group_IT_number 36
_cell_length_a 12.3335
_cell_length_b 14.3174
_cell_length_c 6.3521
_cell_angle_alpha 90.00
_cell_angle_beta 90.00
_cell_angle_gamma 90.00
loop_
_space_group_symop_operation_xyz
'x,y,z'
'-x,-y,z+1/2'
'-x,y,z'
'x,-y,z+1/2'
'x+1/2,y+1/2,z'
'-x+1/2,-y+1/2,z+1/2'
'-x+1/2,y+1/2,z'
'x+1/2,-y+1/2,z+1/2'
loop_
_atom_site_label
_atom_site_type_symbol
_atom_site_fract_x
_atom_site_fract_y
_atom_site_fract_z
Sm1 Sm 0.0000 0.0939 0.0000
Sm2 Sm 0.0000 0.3028 0.7194
Sm3 Sm 0.1739 0.2937 0.2055
Sm4 Sm 0.2229 0.4524 0.6437
Sn1 Sn 0.0000 0.4753 0.3745
Sn2 Sn 0.1173 0.1160 0.4999
H1 H 0.0000 0.2556 0.0645


(11)
# Sm12Sn3H5 (PBE-GGA, relaxed)
# * crystal system: cubic
# * electronic total energy: -738.226 eV per cell
data_Sm12Sn3H5
_space_group_name_H-M_alt 'I a -3 d'
_space_group_IT_number 230
_space_group_name_Hall '-I 4bd 2c 3'
_cell_length_a 15.9613
_cell_length_b 15.9613
_cell_length_c 15.9613
_cell_angle_alpha 90.00
_cell_angle_beta 90.00
_cell_angle_gamma 90.00
loop_
_atom_site_label
_atom_site_type_symbol
_atom_site_fract_x
_atom_site_fract_y
_atom_site_fract_z
Sm1 Sm 0.0408 0.0556 0.6509
Sn1 Sn 0.0000 0.2500 0.1250
H1 H 0.0000 0.0000 0.0000
H2 H 0.0000 0.2500 0.3750


(12)
# Sm3Sn2H (PBE-GGA, relaxed)
# * crystal system: monoclinic
# * electronic total energy: -117.035 eV per cell
data_Sm3Sn2H
_space_group_name_H-M_alt 'C 1 2/c 1'
_space_group_IT_number 15
_cell_length_a 11.6176
_cell_length_b 6.3705
_cell_length_c 8.7578
_cell_angle_alpha 90.00
_cell_angle_beta 105.19
_cell_angle_gamma 90.00
loop_
_space_group_symop_operation_xyz
'x,y,z'
'-x,-y,-z'
'-x,y,-z+1/2'
'x,-y,z+1/2'
'x+1/2,y+1/2,z'
'-x+1/2,-y+1/2,-z'
'-x+1/2,y+1/2,-z+1/2'
'x+1/2,-y+1/2,z+1/2'
loop_
_atom_site_label
_atom_site_type_symbol
_atom_site_fract_x
_atom_site_fract_y
_atom_site_fract_z
Sm1 Sm 0.0000 0.1506 0.2500
Sm2 Sm 0.1447 0.3753 0.6537
Sn1 Sn 0.1466 0.1313 0.0067
H1 H 0.0000 0.4933 0.2500